Record 1
Here is crystalline AsP2PdS at its relaxed geometry from Alexandria via LeMat-Bulk. Energies are from PBE-GGA.

Summary:
As for the space-group type: No. 123. Its uncorrected formation energy is 857 meV/atom. As for the density of states at the Fermi level: 5.2 states/eV/f.u. Its density is 4.49 Mg/m³.

Cell: 4.6463 4.6463 4.7170 Å, 90.00 90.00 90.00°
Closest atoms and distances in Å follow each position.
Positions (direct):
P: 0.0000 0.5000 0.0000  2 Pd 2.32
P: 0.5000 0.0000 0.0000  2 Pd 2.32
As: 0.5000 0.5000 0.5000  4 S 3.29, 8 P 3.31
S: 0.0000 0.0000 0.5000  2 Pd 2.36
Pd: 0.0000 0.0000 0.0000  4 P 2.32, 2 S 2.36

Record 2
Here is crystalline Ce3HoTh2Se6 at its relaxed geometry from Alexandria via LeMat-Bulk. Energies are from PBE-GGA.

Summary:
As for the space-group type: No. 12. Its uncorrected formation energy is -1713 meV/atom. As for the density of states at the Fermi level: 20.3 states/eV/f.u. Its density is 8.18 Mg/m³.

Cell: 7.2404 7.2404 7.2124 Å, 99.62 99.62 119.85°
Closest atoms and distances in Å follow each position.
Positions (direct):
Ce: 0.1703 0.8297 0.5000  6 Se 2.94-2.99
Ce: 0.8297 0.1703 0.5000  6 Se 2.94-2.99
Ce: 0.5000 0.5000 0.5000  6 Se 2.95-3.01
Ho: 0.0000 0.0000 0.0000  6 Se 2.88-2.90
Th: 0.3341 0.6659 0.0000  6 Se 2.97
Th: 0.6659 0.3341 0.0000  6 Se 2.97
Se: 0.9187 0.5941 0.7546  1 Ho 2.88, 3 Ce 2.94-2.99, 2 Th 2.97
Se: 0.7594 0.7594 0.2500  1 Ho 2.90, 3 Ce 2.96-3.01, 2 Th 2.97
Se: 0.0813 0.4059 0.2454  1 Ho 2.88, 3 Ce 2.94-2.99, 2 Th 2.97
Se: 0.5941 0.9187 0.7546  1 Ho 2.88, 3 Ce 2.94-2.99, 2 Th 2.97
Se: 0.2406 0.2406 0.7500  1 Ho 2.90, 3 Ce 2.96-3.01, 2 Th 2.97
Se: 0.4059 0.0813 0.2454  1 Ho 2.88, 3 Ce 2.94-2.99, 2 Th 2.97

Record 3
Here is crystalline LiCd3Rh3O8 at its relaxed geometry from Alexandria via LeMat-Bulk. Energies are from PBE-GGA.

Summary:
As for the space-group type: No. 166. Its uncorrected formation energy is -749 meV/atom. As for the density of states at the Fermi level: 7.5 states/eV/f.u. Its density is 7.25 Mg/m³.

Cell: 6.2257 6.2252 6.4250 Å, 118.97 90.00 120.00°
Closest atoms and distances in Å follow each position.
Positions (direct):
Li: 0.0000 0.0000 0.5000  6 O 2.10
Cd: 0.0000 0.0000 0.0000  6 O 2.37-2.43
Cd: 0.0000 0.5000 0.0000  6 O 2.37-2.43
Cd: 0.5000 0.5000 0.0000  6 O 2.37-2.43
Rh: 0.5000 0.0000 0.5000  6 O 2.07-2.11
Rh: 0.5000 0.5000 0.5000  6 O 2.07-2.11
Rh: 0.0000 0.5000 0.5000  6 O 2.07-2.11
O: 0.2687 0.5375 0.3063  3 Rh 2.07
O: 0.7313 0.4625 0.6937  3 Rh 2.07
O: 0.7649 0.5297 0.2923  1 Li 2.10, 2 Rh 2.11
O: 0.2351 0.4703 0.7077  1 Li 2.10, 2 Rh 2.11
O: 0.7648 0.0275 0.2923  1 Li 2.10, 2 Rh 2.11
O: 0.2352 0.9725 0.7077  1 Li 2.10, 2 Rh 2.11
O: 0.2626 0.0275 0.2923  1 Li 2.10, 2 Rh 2.11
O: 0.7374 0.9725 0.7077  1 Li 2.10, 2 Rh 2.11

Record 4
Here is crystalline BaSrW2 at its relaxed geometry from Alexandria via LeMat-Bulk. Energies are from PBE-GGA.

Summary:
As for the space-group type: No. 65. As for the density of states at the Fermi level: 3.5 states/eV/f.u. Its density is 10.15 Mg/m³. The value obtained for the energy of formation from the pure elements is 1549 meV per atom.

Cell: 2.9394 2.9394 11.2258 Å, 90.00 90.00 90.14°
Closest atoms and distances in Å follow each position.
Positions (direct):
Ba: 0.5000 0.5000 0.2500  4 Ba 2.94
Sr: 0.5000 0.5000 0.7500  4 Sr 2.94
W: 0.0000 0.0000 0.9914  4 W 2.94
W: 0.0000 0.0000 0.5086  4 W 2.94